Computed, not measured: a geometry-optimized CaScZn2 structure at the PBE level of DFT.

magnetic moment	0.0	μB/cell
total energy	-12.07	eV for the cell shown

Unit cell a=3.5098 b=3.5098 c=6.9819 alpha=90.00 beta=90.00 gamma=90.00
With the nearest neighbours (Å) after each atom.
Fractional positions:
Ca (0.0000, 0.0000, 0.0000)  8 Zn 3.20, 2 Sc 3.49, 4 Ca 3.51
Sc (0.0000, 0.0000, 0.5000)  8 Zn 2.89
Zn (0.5000, 0.5000, 0.2887)  4 Sc 2.89, 1 Zn 2.95, 4 Ca 3.20
Zn (0.5000, 0.5000, 0.7113)  4 Sc 2.89, 1 Zn 2.95, 4 Ca 3.20

***

Computed, not measured: a geometry-optimized FeAs2Ir structure at the PBE level of DFT.

magnetic moment	3.2	μB/cell
total energy	-24.76	eV for the cell shown

Unit cell a=4.4493 b=4.4493 c=4.4493 alpha=60.00 beta=60.00 gamma=60.00
With the nearest neighbours (Å) after each atom.
Fractional positions:
Fe (0.0000, 0.0000, 0.0000)  4 Ir 2.72, 4 As 2.72
As (0.2500, 0.2500, 0.2500)  4 As 2.72, 4 Fe 2.72
As (0.5000, 0.5000, 0.5000)  4 Ir 2.72, 4 As 2.72
Ir (0.7500, 0.7500, 0.7500)  4 As 2.72, 4 Fe 2.72

***

Computed, not measured: a geometry-optimized Th2UHg structure at the PBE level of DFT.

magnetic moment	0.0	μB/cell
total energy	-26.19	eV for the cell shown

Unit cell a=5.6540 b=5.6540 c=3.3328 alpha=90.00 beta=90.00 gamma=90.00
With the nearest neighbours (Å) after each atom.
Fractional positions:
Th (0.0000, 0.5000, 0.0000)  4 Hg 3.28, 4 U 3.28, 2 Th 3.33
Th (0.5000, 0.0000, 0.0000)  4 Hg 3.28, 4 U 3.28, 2 Th 3.33
U (0.0000, 0.0000, 0.5000)  8 Th 3.28, 2 U 3.33
Hg (0.5000, 0.5000, 0.5000)  8 Th 3.28, 2 Hg 3.33

***

Computed, not measured: a geometry-optimized In2CoPt structure at the PBE level of DFT.

magnetic moment	1.2	μB/cell
total energy	-18.02	eV for the cell shown

Unit cell a=4.6132 b=4.6132 c=4.6132 alpha=60.00 beta=60.00 gamma=60.00
With the nearest neighbours (Å) after each atom.
Fractional positions:
In (0.0000, 0.0000, 0.0000)  4 In 2.82, 4 Co 2.82
In (0.2500, 0.2500, 0.2500)  4 In 2.82, 4 Pt 2.82
Co (0.7500, 0.7500, 0.7500)  4 In 2.82, 4 Pt 2.82
Pt (0.5000, 0.5000, 0.5000)  4 In 2.82, 4 Co 2.82

***

Computed, not measured: a geometry-optimized Dy8Tm2Mg structure at the PBE level of DFT.

magnetic moment	0.0	μB/cell
total energy	-45.52	eV for the cell shown

Unit cell a=8.1996 b=8.1996 c=5.3664 alpha=90.05 beta=90.05 gamma=103.45
With the nearest neighbours (Å) after each atom.
Fractional positions:
Dy (0.0000, 0.0000, 0.0000)  7 Dy 3.34-3.66, 1 Mg 3.41, 4 Tm 3.52
Dy (0.3288, 0.3288, 0.9997)  7 Dy 3.34-3.66, 1 Mg 3.41, 4 Tm 3.52
Dy (0.3633, 0.6380, 0.4991)  7 Dy 3.33-3.66, 2 Tm 3.42-3.53, 2 Mg 3.61-3.62
Dy (0.4119, 0.9174, 0.9997)  2 Tm 3.14, 1 Mg 3.25, 4 Dy 3.49
Dy (0.6380, 0.3633, 0.4991)  7 Dy 3.33-3.66, 2 Tm 3.42-3.53, 2 Mg 3.61-3.62
Dy (0.6910, 0.9653, 0.5004)  7 Dy 3.33-3.66, 2 Tm 3.42-3.53, 2 Mg 3.62
Dy (0.9174, 0.4119, 0.9997)  2 Tm 3.14, 1 Mg 3.25, 4 Dy 3.49
Dy (0.9653, 0.6910, 0.5004)  7 Dy 3.33-3.66, 2 Tm 3.42-3.53, 2 Mg 3.62
Tm (0.0437, 0.2851, 0.5000)  1 Tm 3.11, 4 Dy 3.14-3.42
Tm (0.2851, 0.0437, 0.5000)  1 Tm 3.11, 4 Dy 3.14-3.42
Mg (0.6640, 0.6640, 0.9999)  12 Dy 3.25-3.62

***

Computed, not measured: a geometry-optimized SbCSI2 structure at the PBE level of DFT.

magnetic moment	0.0	μB/cell
total energy	-13.87	eV for the cell shown
raw formation energy	1.340	eV per atom

Unit cell a=4.9930 b=4.9930 c=4.8293 alpha=90.00 beta=90.00 gamma=90.00
With the nearest neighbours (Å) after each atom.
Fractional positions:
Sb (0.0000, 0.0000, 0.0000)  2 C 2.41
C (0.0000, 0.0000, 0.5000)  2 Sb 2.41, 4 I 2.50
S (0.5000, 0.5000, 0.0000)  8 I 3.47, 4 Sb 3.53
I (0.0000, 0.5000, 0.5000)  2 C 2.50
I (0.5000, 0.0000, 0.5000)  2 C 2.50

***

Computed, not measured: a geometry-optimized LiCuF4 structure at the PBE level of DFT.

magnetic moment	11.9	μB/cell
total energy	-147.83	eV for the cell shown
raw formation energy	-1.857	eV per atom

Unit cell a=5.4088 b=8.3673 c=9.9924 alpha=104.22 beta=104.09 gamma=90.25
With the nearest neighbours (Å) after each atom.
Fractional positions:
Li (0.1637, 0.4393, 0.2590)  5 F 1.94-2.13
Li (0.1809, 0.8147, 0.7679)  3 F 1.92-2.05
Li (0.2924, 0.9614, 0.1748)  4 F 1.92-2.02
Li (0.7076, 0.0386, 0.8252)  4 F 1.92-2.02
Li (0.8191, 0.1853, 0.2321)  3 F 1.92-2.05
Li (0.8363, 0.5607, 0.7410)  5 F 1.94-2.13
Cu (0.2528, 0.2361, 0.9847)  6 F 1.89-1.99
Cu (0.3408, 0.3854, 0.7525)  6 F 1.87-2.01
Cu (0.4483, 0.1721, 0.4872)  6 F 1.85-2.01
Cu (0.5517, 0.8279, 0.5128)  6 F 1.85-2.01
Cu (0.6592, 0.6146, 0.2475)  6 F 1.87-2.01
Cu (0.7472, 0.7639, 0.0153)  6 F 1.89-1.99
F (0.0091, 0.7334, 0.9164)  1 Cu 1.90, 1 Li 2.00
F (0.0719, 0.0419, 0.8587)  1 Cu 1.89, 2 Li 1.92-2.05
F (0.0855, 0.3709, 0.8542)  2 Cu 1.92-1.99
F (0.1522, 0.5460, 0.6800)  1 Cu 1.87, 1 Li 1.94
F (0.1921, 0.1974, 0.6000)  2 Cu 1.91-1.97
F (0.2227, 0.2493, 0.3452)  1 Cu 1.88, 1 Li 1.98
F (0.2893, 0.8371, 0.6036)  1 Cu 1.85, 1 Li 1.92
F (0.3373, 0.9469, 0.3785)  2 Cu 1.94-2.01, 1 Li 2.02
F (0.3995, 0.4485, 0.1183)  2 Cu 1.95-1.97, 1 Li 2.13
F (0.4246, 0.6179, 0.3730)  2 Cu 1.96-1.98, 1 Li 1.97
F (0.4529, 0.1240, 0.1106)  1 Cu 1.89, 2 Li 1.92-2.04
F (0.4967, 0.7699, 0.1326)  1 Li 1.97, 2 Cu 1.99-2.01
F (0.5033, 0.2301, 0.8674)  1 Li 1.97, 2 Cu 1.99-2.01
F (0.5471, 0.8760, 0.8894)  1 Cu 1.89, 2 Li 1.92-2.04
F (0.5754, 0.3821, 0.6270)  2 Cu 1.96-1.98, 1 Li 1.97
F (0.6005, 0.5515, 0.8817)  2 Cu 1.95-1.97, 1 Li 2.13
F (0.6627, 0.0531, 0.6215)  2 Cu 1.94-2.01, 1 Li 2.02
F (0.7107, 0.1629, 0.3964)  1 Cu 1.85, 1 Li 1.92
F (0.7773, 0.7507, 0.6548)  1 Cu 1.88, 1 Li 1.98
F (0.8079, 0.8026, 0.4000)  2 Cu 1.91-1.97
F (0.8478, 0.4540, 0.3200)  1 Cu 1.87, 1 Li 1.94
F (0.9145, 0.6291, 0.1458)  2 Cu 1.92-1.99
F (0.9281, 0.9581, 0.1413)  1 Cu 1.89, 2 Li 1.92-2.05
F (0.9909, 0.2666, 0.0836)  1 Cu 1.90, 1 Li 2.00

***

Computed, not measured: a geometry-optimized Zr3AlAs structure at the PBE level of DFT.

magnetic moment	0.0	μB/cell
total energy	-34.06	eV for the cell shown

Unit cell a=4.9745 b=4.9745 c=4.9745 alpha=90.00 beta=90.00 gamma=90.00
With the nearest neighbours (Å) after each atom.
Fractional positions:
Zr (0.0000, 0.0000, 0.5000)  2 As 2.49
Zr (0.0000, 0.5000, 0.0000)  2 As 2.49
Zr (0.5000, 0.0000, 0.0000)  2 As 2.49
Al (0.5000, 0.5000, 0.5000)  12 Zr 3.52
As (0.0000, 0.0000, 0.0000)  6 Zr 2.49

***

Computed, not measured: a geometry-optimized Tb4PmY2 structure at the PBE level of DFT.

magnetic moment	0.0	μB/cell
total energy	-70.66	eV for the cell shown

Unit cell a=6.1801 b=6.5733 c=11.5381 alpha=90.00 beta=103.99 gamma=90.00
With the nearest neighbours (Å) after each atom.
Fractional positions:
Tb (0.1433, 0.0075, 0.2882)  5 Tb 3.19-3.56, 1 Pm 3.34, 1 Y 3.48
Tb (0.1433, 0.4925, 0.2882)  5 Tb 3.19-3.56, 1 Pm 3.34, 1 Y 3.48
Tb (0.2082, 0.2500, 0.5708)  4 Y 3.37-3.42, 1 Pm 3.41, 4 Tb 3.46-3.56
Tb (0.3474, 0.7500, 0.8425)  2 Y 3.33-3.45, 3 Pm 3.39-3.47, 2 Tb 3.44
Tb (0.6526, 0.2500, 0.1575)  2 Y 3.33-3.45, 3 Pm 3.39-3.47, 2 Tb 3.44
Tb (0.7918, 0.7500, 0.4292)  4 Y 3.37-3.42, 1 Pm 3.41, 4 Tb 3.46-3.56
Tb (0.8567, 0.5075, 0.7118)  5 Tb 3.19-3.56, 1 Pm 3.34, 1 Y 3.48
Tb (0.8567, 0.9925, 0.7118)  5 Tb 3.19-3.56, 1 Pm 3.34, 1 Y 3.48
Pm (0.4662, 0.7500, 0.1448)  6 Tb 3.34-3.47, 2 Y 3.41-3.51
Pm (0.5338, 0.2500, 0.8552)  6 Tb 3.34-3.47, 2 Y 3.41-3.51
Y (0.1061, 0.2500, 0.9948)  2 Pm 3.41-3.51, 6 Tb 3.45-3.73, 2 Y 3.55
Y (0.3533, 0.7500, 0.5549)  9 Tb 3.33-3.57
Y (0.6467, 0.2500, 0.4451)  9 Tb 3.33-3.57
Y (0.8939, 0.7500, 0.0052)  2 Pm 3.41-3.51, 6 Tb 3.45-3.73, 2 Y 3.55

***

Computed, not measured: a geometry-optimized ZrCdAg2 structure at the PBE level of DFT.

magnetic moment	0.0	μB/cell
total energy	-15.18	eV for the cell shown

Unit cell a=5.0913 b=5.0913 c=5.6801 alpha=96.28 beta=96.28 gamma=32.94
With the nearest neighbours (Å) after each atom.
Fractional positions:
Zr (0.0000, 0.0000, 0.0000)  2 Zr 2.89, 6 Ag 2.95-3.05, 4 Cd 3.19
Cd (0.5000, 0.5000, 0.5000)  2 Cd 2.89, 6 Ag 2.98-3.04, 4 Zr 3.19
Ag (0.2489, 0.2489, 0.7520)  6 Ag 2.89-3.21, 3 Zr 2.95-3.05, 3 Cd 2.98-3.04
Ag (0.7511, 0.7511, 0.2480)  6 Ag 2.89-3.21, 3 Zr 2.95-3.05, 3 Cd 2.98-3.04

***

Computed, not measured: a geometry-optimized Mg2GaPt structure at the PBE level of DFT.

magnetic moment	0.0	μB/cell
total energy	-14.35	eV for the cell shown

Unit cell a=3.3508 b=3.3508 c=6.1214 alpha=90.00 beta=90.00 gamma=90.00
With the nearest neighbours (Å) after each atom.
Fractional positions:
Mg (0.0000, 0.0000, 0.2346)  4 Pt 2.77, 1 Mg 2.87, 4 Ga 2.87
Mg (0.0000, 0.0000, 0.7654)  4 Pt 2.77, 1 Mg 2.87, 4 Ga 2.87
Ga (0.5000, 0.5000, 0.5000)  8 Mg 2.87, 2 Pt 3.06
Pt (0.5000, 0.5000, 0.0000)  8 Mg 2.77, 2 Ga 3.06